# 1
# Li2MgZn2Pd2

An optimized crystal structure of Li2MgZn2Pd2 (PBE-GGA, the Alexandria database).

abc: 4.3790 4.3752 6.8531
angles: 108.96 90.00 120.03
Last column: nearest neighbours and their distance in Å.
Sites, in units of the cell vectors:
1 Li 0.1447 0.2894 0.4342  1 Pd 2.64, 3 Li 2.66-2.67, 3 Zn 2.71-2.72, 1 Mg 2.76
2 Li 0.8553 0.7106 0.5658  1 Pd 2.64, 3 Li 2.66-2.67, 3 Zn 2.71-2.72, 1 Mg 2.76
3 Mg 0.0000 0.0000 0.0000  6 Pd 2.70-2.71, 2 Li 2.76
4 Zn 0.5727 0.1455 0.7203  4 Pd 2.66-2.73, 3 Li 2.71-2.72, 1 Zn 2.80
5 Zn 0.4273 0.8545 0.2797  4 Pd 2.66-2.73, 3 Li 2.71-2.72, 1 Zn 2.80
6 Pd 0.7166 0.4331 0.1500  1 Li 2.64, 4 Zn 2.66-2.73, 3 Mg 2.70-2.71
7 Pd 0.2834 0.5669 0.8500  1 Li 2.64, 4 Zn 2.66-2.73, 3 Mg 2.70-2.71

* N(E_F): 2.88 states/eV/f.u.
* DFT formation energy: -0.472 eV/atom
* raw total energy: -21.66 eV for the cell shown

***

# 2
# Ca2AlFeB

An optimized crystal structure of Ca2AlFeB (PBE-GGA, the Alexandria database).

abc: 5.3868 5.3868 3.8933
angles: 90.00 90.00 90.00
Last column: nearest neighbours and their distance in Å.
Sites, in units of the cell vectors:
1 Ca 0.0000 0.5000 0.0000  2 Fe 2.69
2 Ca 0.5000 0.0000 0.0000  2 Fe 2.69
3 B 0.0000 0.0000 0.5000  2 Fe 1.95
4 Fe 0.0000 0.0000 0.0000  2 B 1.95
5 Al 0.5000 0.5000 0.5000  8 Ca 3.32

* N(E_F): 5.35 states/eV/f.u.
* DFT formation energy: 0.544 eV/atom
* raw total energy: -20.16 eV for the cell shown